DFT (PBE) results for a relaxed AcGa2GePt crystal.

Output
Total moment in μB/f.u.: 0.00

abc: 6.169 6.169 6.169
angles: 137.67 137.53 61.52
Atoms (fractional coordinates):
Ac 0.000 0.000 0.000
Ga 0.377 0.377 0.000
Ga 0.754 0.254 0.500
Ge 0.622 0.622 0.000
Pt 0.249 0.749 0.500

***

DFT (PBE) results for a relaxed Ac3GaGe2Pt6 crystal.

Output
Total moment in μB/f.u.: 0.00

abc: 5.817 5.817 9.685
angles: 90.00 90.00 120.00
Atoms (fractional coordinates):
Ac 0.000 0.000 0.000
Ac 0.333 0.667 0.606
Ac 0.667 0.333 0.394
Ga 0.000 0.000 0.500
Ge 0.333 0.667 0.094
Ge 0.667 0.333 0.906
Pt 0.165 0.331 0.288
Pt 0.165 0.835 0.288
Pt 0.331 0.165 0.712
Pt 0.669 0.835 0.288
Pt 0.835 0.165 0.712
Pt 0.835 0.669 0.712

***

DFT (PBE) results for a relaxed Ac2GaGe3Pt4 crystal.

Output
Total moment in μB/f.u.: 0.00

abc: 4.499 4.499 10.220
angles: 90.00 90.00 90.00
Atoms (fractional coordinates):
Ac 0.000 0.500 0.248
Ac 0.500 0.000 0.752
Ga 0.500 0.500 0.000
Ge 0.000 0.000 0.000
Ge 0.000 0.500 0.624
Ge 0.500 0.000 0.376
Pt 0.000 0.000 0.500
Pt 0.000 0.500 0.873
Pt 0.500 0.000 0.127
Pt 0.500 0.500 0.500

***

DFT (PBE) results for a relaxed Ac2GaGePt6 crystal.

Output
Total moment in μB/f.u.: 0.00

abc: 5.604 6.749 6.884
angles: 83.41 66.03 65.55
Atoms (fractional coordinates):
Ac 0.041 0.211 0.205
Ac 0.959 0.789 0.795
Ga 0.500 0.500 0.000
Ge 0.500 0.000 0.500
Pt 0.001 0.257 0.739
Pt 0.365 0.386 0.384
Pt 0.498 0.743 0.261
Pt 0.502 0.257 0.739
Pt 0.635 0.614 0.616
Pt 0.999 0.743 0.261

***

DFT (PBE) results for a relaxed Ac2GaGeRh6 crystal.

Output
Total moment in μB/f.u.: 0.00

abc: 6.607 6.607 6.607
angles: 60.00 60.00 60.00
Atoms (fractional coordinates):
Ac 0.250 0.250 0.250
Ac 0.750 0.750 0.750
Ga 0.000 0.000 0.000
Ge 0.500 0.500 0.500
Rh 0.251 0.251 0.749
Rh 0.251 0.749 0.251
Rh 0.251 0.749 0.749
Rh 0.749 0.251 0.251
Rh 0.749 0.251 0.749
Rh 0.749 0.749 0.251

***

DFT (PBE) results for a relaxed Ac2GaGeRh crystal.

Output
Total moment in μB/f.u.: 0.00

abc: 4.501 4.501 14.362
angles: 90.00 90.00 90.00
Atoms (fractional coordinates):
Ac 0.250 0.250 0.111
Ac 0.250 0.250 0.663
Ac 0.750 0.750 0.337
Ac 0.750 0.750 0.889
Ga 0.250 0.250 0.413
Ga 0.750 0.750 0.587
Ge 0.250 0.250 0.882
Ge 0.750 0.750 0.118
Rh 0.250 0.750 0.500
Rh 0.750 0.250 0.500

***

DFT (PBE) results for a relaxed AcGaGeRh3 crystal.

Output
Total moment in μB/f.u.: 0.00

abc: 7.885 7.885 5.948
angles: 90.00 90.00 135.79
Atoms (fractional coordinates):
Ac 0.247 0.753 0.750
Ac 0.753 0.247 0.250
Ga 0.089 0.911 0.250
Ga 0.911 0.089 0.750
Ge 0.419 0.581 0.250
Ge 0.581 0.419 0.750
Rh 0.248 0.248 0.000
Rh 0.248 0.248 0.500
Rh 0.256 0.744 0.250
Rh 0.744 0.256 0.750
Rh 0.752 0.752 0.000
Rh 0.752 0.752 0.500

***

DFT (PBE) results for a relaxed Ac2GaGe3Rh4 crystal.

Output
Total moment in μB/f.u.: 0.00

abc: 4.345 4.345 10.455
angles: 90.00 90.00 90.00
Atoms (fractional coordinates):
Ac 0.000 0.500 0.246
Ac 0.500 0.000 0.754
Ga 0.500 0.500 0.000
Ge 0.000 0.000 0.000
Ge 0.000 0.500 0.625
Ge 0.500 0.000 0.375
Rh 0.000 0.000 0.500
Rh 0.000 0.500 0.870
Rh 0.500 0.000 0.130
Rh 0.500 0.500 0.500

***

DFT (PBE) results for a relaxed AcGaGe2Ru2 crystal.

Output
Total moment in μB/f.u.: 1.08

abc: 4.610 4.610 5.882
angles: 90.00 90.00 90.00
Atoms (fractional coordinates):
Ac 0.000 0.000 0.000
Ga 0.000 0.000 0.500
Ge 0.500 0.500 0.254
Ge 0.500 0.500 0.746
Ru 0.000 0.500 0.500
Ru 0.500 0.000 0.500

***

DFT (PBE) results for a relaxed Ac2GaGeRu crystal.

Output
Total moment in μB/f.u.: 0.00

abc: 4.573 4.573 14.012
angles: 90.00 90.00 90.00
Atoms (fractional coordinates):
Ac 0.250 0.250 0.114
Ac 0.250 0.250 0.655
Ac 0.750 0.750 0.345
Ac 0.750 0.750 0.886
Ga 0.250 0.250 0.416
Ga 0.750 0.750 0.584
Ge 0.250 0.250 0.884
Ge 0.750 0.750 0.116
Ru 0.250 0.750 0.500
Ru 0.750 0.250 0.500

***

| no. | energy relative to the elements (eV per atom) | theoretical density (g/cm³) |
| --- | --- | --- |
| 1 | -0.72 | 9.98 |
| 2 | -0.88 | 12.09 |
| 3 | -0.96 | 12.22 |
| 4 | -0.90 | 13.58 |
| 5 | -0.41 | 9.88 |
| 6 | -0.67 | 7.98 |
| 7 | -0.59 | 8.73 |
| 8 | -0.84 | 9.70 |
| 9 | -0.16 | 8.56 |
| 10 | -0.50 | 7.91 |